Entry 1:
This record from Alexandria describes crystalline Tm7Tl5 at its relaxed geometry. The functional is PBE-GGA.

Cell lengths 15.0932, 3.6615, 14.3880 Å; angles 90.00, 118.20, 90.00 degrees
Space group C2/m (No. 12)
Asymmetric unit:
Tm  0.0000  0.0000  0.0000
Tm  0.0967  0.5000  0.8180
Tm  0.1406  0.5000  0.4523
Tm  0.2189  0.0000  0.6880
Tl  0.0000  0.0000  0.5000
Tl  0.0910  0.0000  0.2457
Tl  0.2006  0.5000  0.0674

- Total energy: -89.68 eV for the cell shown
- Spin magnetization: 0.00 μB per formula unit
- Formation enthalpy at 0 K: -0.143 eV/atom


Entry 2:
This record from Alexandria describes crystalline Tm5Tl2 at its relaxed geometry. The functional is PBE-GGA.

Cell lengths 4.5649, 38.3559, 4.6061 Å; angles 90.00, 90.00, 90.00 degrees
Space group Cmcm (No. 63)
Asymmetric unit:
Tm  0.0000  0.0328  0.2500
Tm  0.0000  0.1100  0.7500
Tm  0.0000  0.2547  0.2500
Tm  0.0000  0.3256  0.7500
Tm  0.0000  0.4618  0.2500
Tl  0.0000  0.1907  0.7500
Tl  0.0000  0.4054  0.7500

- Total energy: -112.41 eV for the cell shown
- Offset from the most stable computed form: 39 meV per atom
- Spin magnetization: 0.00 μB per formula unit
- Formation enthalpy at 0 K: -0.145 eV/atom


Entry 3:
This record from Alexandria describes crystalline Tm5Tl3 at its relaxed geometry. The functional is PBE-GGA.

Cell lengths 6.7772, 12.9865, 5.0557 Å; angles 90.00, 90.00, 90.00 degrees
Space group Pbam (No. 55)
Asymmetric unit:
Tm  0.0000  0.0000  0.0000
Tm  0.1493  0.2734  0.0000
Tm  0.1611  0.6053  0.5000
Tl  0.0000  0.5000  0.0000
Tl  0.1100  0.8476  0.5000

- Total energy: -63.11 eV for the cell shown
- Offset from the most stable computed form: 27 meV per atom
- Spin magnetization: 0.00 μB per formula unit
- Formation enthalpy at 0 K: -0.262 eV/atom


Entry 4:
This record from Alexandria describes crystalline Tm3Tl at its relaxed geometry. The functional is PBE-GGA.

Cell lengths 7.6328, 7.6328, 7.6328 Å; angles 90.00, 90.00, 90.00 degrees
Space group Fm-3m (No. 225)
Asymmetric unit:
Tm  0.0000  0.0000  0.0000
Tm  0.2500  0.2500  0.2500
Tl  0.0000  0.0000  0.5000

- Total energy: -63.14 eV for the cell shown
- Spin magnetization: 1.04 μB per formula unit
- Formation enthalpy at 0 K: -0.001 eV/atom


Entry 5:
This record from Alexandria describes crystalline Tm4Tl5 at its relaxed geometry. The functional is PBE-GGA.

Cell lengths 9.2470, 9.2470, 6.5372 Å; angles 90.00, 90.00, 120.00 degrees
Space group P6_3/mcm (No. 193)
Asymmetric unit:
Tm  0.0000  0.0000  0.0000
Tm  0.0000  0.3683  0.2500
Tl  0.0000  0.2987  0.7500
Tl  0.3333  0.6667  0.0000

- Total energy: -63.92 eV for the cell shown
- Spin magnetization: 0.00 μB per formula unit
- Formation enthalpy at 0 K: -0.249 eV/atom


Entry 6:
This record from Alexandria describes crystalline Tm3Tl at its relaxed geometry. The functional is PBE-GGA.

Cell lengths 6.0662, 10.6543, 8.0755 Å; angles 90.00, 105.68, 90.00 degrees
Space group C2/m (No. 12)
Asymmetric unit:
Tm  0.2333  0.0000  0.1685
Tm  0.2326  0.3319  0.1838
Tl  0.0000  0.3408  0.5000

- Total energy: -63.21 eV for the cell shown
- Spin magnetization: 0.00 μB per formula unit
- Formation enthalpy at 0 K: -0.006 eV/atom


Entry 7:
This record from Alexandria describes crystalline Tm5Tl at its relaxed geometry. The functional is PBE-GGA.

Cell lengths 12.5685, 3.5029, 8.1347 Å; angles 90.00, 104.66, 90.00 degrees
Space group Cm (No. 8)
Asymmetric unit:
Tm  0.0000  0.0000  0.0000
Tm  0.0331  0.0000  0.6093
Tm  0.1454  0.5000  0.3409
Tm  0.3150  0.0000  0.6786
Tm  0.3677  0.0000  0.2642
Tl  0.2124  0.5000  0.9479

- Total energy: -50.65 eV for the cell shown
- Offset from the most stable computed form: 8 meV per atom
- Spin magnetization: 0.00 μB per formula unit
- Formation enthalpy at 0 K: -0.100 eV/atom


Entry 8:
This record from Alexandria describes crystalline Tm4Tl3 at its relaxed geometry. The functional is PBE-GGA.

Cell lengths 14.2216, 4.8453, 6.5204 Å; angles 90.00, 109.31, 90.00 degrees
Space group C2/m (No. 12)
Asymmetric unit:
Tm  0.0639  0.0000  0.3042
Tm  0.1307  0.5000  0.7165
Tl  0.0000  0.5000  0.0000
Tl  0.2303  0.5000  0.3049

- Total energy: -50.93 eV for the cell shown
- Spin magnetization: 0.00 μB per formula unit
- Formation enthalpy at 0 K: -0.069 eV/atom


Entry 9:
This record from Alexandria describes crystalline Tm5Tl4 at its relaxed geometry. The functional is PBE-GGA.

Cell lengths 9.1947, 9.1947, 6.6535 Å; angles 90.00, 90.00, 120.00 degrees
Space group P6_3/mcm (No. 193)
Asymmetric unit:
Tm  0.0000  0.2891  0.2500
Tm  0.3333  0.6667  0.0000
Tl  0.0000  0.0000  0.0000
Tl  0.0000  0.3747  0.7500

- Total energy: -69.23 eV for the cell shown
- Spin magnetization: 0.00 μB per formula unit
- Formation enthalpy at 0 K: -0.310 eV/atom


Entry 10:
This record from Alexandria describes crystalline Tm2Tl at its relaxed geometry. The functional is PBE-GGA.

Cell lengths 5.3385, 5.3385, 6.6379 Å; angles 90.00, 90.00, 120.00 degrees
Space group P6_3/mmc (No. 194)
Asymmetric unit:
Tm  0.0000  0.0000  0.0000
Tm  0.3333  0.6667  0.2500
Tl  0.3333  0.6667  0.7500

- Total energy: -24.05 eV for the cell shown
- Spin magnetization: 0.00 μB per formula unit
- Formation enthalpy at 0 K: -0.238 eV/atom


Entry 11:
This record from Alexandria describes crystalline Y2Tm4Tl at its relaxed geometry. The functional is PBE-GGA.

Cell lengths 5.5933, 6.6915, 11.6093 Å; angles 90.00, 102.66, 90.00 degrees
Space group P2_1/m (No. 11)
Asymmetric unit:
Y  0.0568  0.2500  0.4804
Y  0.2771  0.7500  0.0580
Tm  0.1637  0.0097  0.7943
Tm  0.2872  0.2500  0.0937
Tm  0.3787  0.7500  0.3502
Tl  0.4983  0.7500  0.6371

- Total energy: -66.24 eV for the cell shown
- Spin magnetization: 0.00 μB per formula unit
- Formation enthalpy at 0 K: 0.009 eV/atom


Entry 12:
This record from Alexandria describes crystalline Y2TmTl3 at its relaxed geometry. The functional is PBE-GGA.

Cell lengths 3.7509, 3.7509, 11.5537 Å; angles 90.00, 90.00, 90.00 degrees
Space group P4/mmm (No. 123)
Asymmetric unit:
Y  0.0000  0.0000  0.1687
Tm  0.0000  0.0000  0.5000
Tl  0.5000  0.5000  0.0000
Tl  0.5000  0.5000  0.3377

- Total energy: -26.60 eV for the cell shown
- Offset from the most stable computed form: 0 meV per atom
- Spin magnetization: 0.00 μB per formula unit
- Formation enthalpy at 0 K: -0.350 eV/atom


Entry 13:
This record from Alexandria describes crystalline Y2Tm3Tl at its relaxed geometry. The functional is PBE-GGA.

Cell lengths 4.8128, 15.0214, 4.8640 Å; angles 90.00, 90.00, 90.00 degrees
Space group Cmmm (No. 65)
Asymmetric unit:
Y  0.0000  0.1610  0.0000
Tm  0.0000  0.0000  0.5000
Tm  0.0000  0.3304  0.5000
Tl  0.0000  0.5000  0.0000

- Total energy: -58.71 eV for the cell shown
- Offset from the most stable computed form: 0 meV per atom
- Spin magnetization: 0.00 μB per formula unit
- Formation enthalpy at 0 K: -0.108 eV/atom


Entry 14:
This record from Alexandria describes crystalline Y12Tm6Tl at its relaxed geometry. The functional is PBE-GGA.

Cell lengths 11.8221, 11.8221, 14.9654 Å; angles 90.00, 90.00, 120.00 degrees
Space group R-3 (No. 148, hexagonal axes)
Asymmetric unit:
Y  0.0092  0.1807  0.3149
Y  0.0465  0.8485  0.9146
Tm  0.0231  0.4308  0.1904
Tl  0.0000  0.0000  0.5000

- Total energy: -315.54 eV for the cell shown
- Spin magnetization: 0.00 μB per formula unit
- Formation enthalpy at 0 K: 0.083 eV/atom


Entry 15:
This record from Alexandria describes crystalline YTm2Tl3 at its relaxed geometry. The functional is PBE-GGA.

Cell lengths 3.6409, 3.6409, 12.1525 Å; angles 90.00, 90.00, 90.00 degrees
Space group P4/mmm (No. 123)
Asymmetric unit:
Y  0.0000  0.0000  0.0000
Tm  0.0000  0.0000  0.3347
Tl  0.5000  0.5000  0.1700
Tl  0.5000  0.5000  0.5000

- Total energy: -24.46 eV for the cell shown
- Spin magnetization: 0.00 μB per formula unit
- Formation enthalpy at 0 K: -0.326 eV/atom


Entry 16:
This record from Alexandria describes crystalline YTmTl6 at its relaxed geometry. The functional is PBE-GGA.

Cell lengths 4.7584, 4.7584, 9.5201 Å; angles 90.00, 90.00, 90.00 degrees
Space group P4/mmm (No. 123)
Asymmetric unit:
Y  0.0000  0.0000  0.0000
Tm  0.0000  0.0000  0.5000
Tl  0.0000  0.5000  0.2518
Tl  0.5000  0.5000  0.0000
Tl  0.5000  0.5000  0.5000

- Total energy: -26.86 eV for the cell shown
- Spin magnetization: 0.00 μB per formula unit
- Formation enthalpy at 0 K: -0.215 eV/atom


Entry 17:
This record from Alexandria describes crystalline Y6TmTl at its relaxed geometry. The functional is PBE-GGA.

Cell lengths 4.9143, 4.9143, 10.0989 Å; angles 90.00, 90.00, 90.00 degrees
Space group P4/mmm (No. 123)
Asymmetric unit:
Y  0.0000  0.0000  0.0000
Y  0.0000  0.0000  0.5000
Y  0.0000  0.5000  0.2459
Tm  0.5000  0.5000  0.5000
Tl  0.5000  0.5000  0.0000

- Total energy: -46.24 eV for the cell shown
- Offset from the most stable computed form: 0 meV per atom
- Spin magnetization: 0.00 μB per formula unit
- Formation enthalpy at 0 K: -0.077 eV/atom


Entry 18:
This record from Alexandria describes crystalline YTm2Tl at its relaxed geometry. The functional is PBE-GGA.

Cell lengths 3.5997, 3.5997, 9.0232 Å; angles 90.00, 90.00, 90.00 degrees
Space group P4/mmm (No. 123)
Asymmetric unit:
Y  0.0000  0.0000  0.0000
Tm  0.5000  0.5000  0.2723
Tl  0.0000  0.0000  0.5000

- Total energy: -18.44 eV for the cell shown
- Offset from the most stable computed form: 2 meV per atom
- Spin magnetization: 0.00 μB per formula unit
- Formation enthalpy at 0 K: -0.167 eV/atom


Entry 19:
This record from Alexandria describes crystalline Y2TmTl3 at its relaxed geometry. The functional is PBE-GGA.

Cell lengths 3.6496, 28.5958, 6.6825 Å; angles 90.00, 90.00, 90.00 degrees
Space group Cmcm (No. 63)
Asymmetric unit:
Y  0.0000  0.0042  0.2500
Y  0.0000  0.1520  0.7500
Tm  0.0000  0.3312  0.7500
Tl  0.0000  0.2561  0.2500
Tl  0.0000  0.4228  0.0058

- Total energy: -103.59 eV for the cell shown
- Offset from the most stable computed form: 117 meV per atom
- Spin magnetization: 0.25 μB per formula unit
- Formation enthalpy at 0 K: -0.233 eV/atom


Entry 20:
This record from Alexandria describes crystalline Y4Tm5Tl2 at its relaxed geometry. The functional is PBE-GGA.

Cell lengths 5.1742, 5.1742, 47.3046 Å; angles 90.00, 90.00, 120.00 degrees
Space group R-3m (No. 166, hexagonal axes)
Asymmetric unit:
Y  0.0000  0.0000  0.0725
Y  0.0000  0.0000  0.2244
Tm  0.0000  0.0000  0.0000
Tm  0.0000  0.0000  0.1482
Tm  0.0000  0.0000  0.3016
Tl  0.0000  0.0000  0.3773

- Total energy: -150.27 eV for the cell shown
- Spin magnetization: 0.00 μB per formula unit
- Formation enthalpy at 0 K: 0.260 eV/atom